[1]
An optimized crystal structure of NpZnAgHg. Source: the Alexandria database, functional PBE.

Structure (extended XYZ):
```
4
Lattice="4.964 0.000 0.000 2.482 4.299 0.000 2.482 1.433 4.053" Properties=species:S:1:pos:R:3 pbc="T T T"
Np 4.964 2.866 2.026
Zn 2.482 1.433 1.013
Hg 7.446 4.299 3.040
Ag 0.000 0.000 0.000
```

Properties
Its space group is F-43m, No. 216. Its formation energy is 22.1 kJ per mole of atoms.


[2]
An optimized crystal structure of AgHgO2. Source: the Alexandria database, functional PBE.

Structure (extended XYZ):
```
8
Lattice="-2.949 1.693 0.126 -2.877 -4.752 -3.482 -1.475 -2.960 5.259" Properties=species:S:1:pos:R:3 pbc="T T T"
Ag -3.651 -3.010 0.951
Ag 0.000 0.000 0.000
Hg -1.439 -2.376 -1.741
Hg -2.212 -0.634 2.692
O -1.611 -2.825 0.243
O -2.741 -4.888 1.533
O -2.958 -2.029 3.983
O -4.343 -3.991 -2.081
```

Properties
The formation energy from raw total energies comes out at -0.126 eV/atom. Its space group is Pnnm, No. 58.


[3]
An optimized crystal structure of Ag2HgO2. Source: the Alexandria database, functional PBE.

Structure (extended XYZ):
```
20
Lattice="-4.848 -4.104 0.779 1.880 -3.210 -5.208 4.928 -4.910 4.805" Properties=species:S:1:pos:R:3 pbc="T T T"
Ag 2.073 -7.521 -0.478
Ag -0.357 -9.579 -0.159
Ag 3.136 -5.317 4.403
Ag 0.079 -8.157 -2.802
Ag 4.007 -6.937 1.783
Ag 1.061 -1.393 -0.688
Ag -1.322 -3.498 -0.324
Ag -0.839 -6.490 -0.228
Hg 1.816 -4.052 1.436
Hg 1.217 -4.689 -2.320
Hg 0.743 -7.534 2.697
Hg -2.320 -5.716 -3.461
O 2.369 -5.415 -0.734
O 1.916 -9.125 3.378
O -0.037 -5.892 1.666
O 3.487 -4.940 2.323
O 1.780 -9.626 -0.294
O -0.328 -4.015 -3.556
O -1.666 -7.144 -2.082
O 0.319 -2.736 0.807
```

Properties
The formation energy from raw total energies comes out at -0.171 eV/atom. Its space group is P4_32_12, No. 96. Its energy above the most stable polymorph in this dataset is 0.000 eV per atom.


For reference, DFT total energy by record: -4.113; -3.393; -3.355 eV/atom.